VASP calculation (PBE) on a relaxed structure of TlAuBr2Cl2.

The value obtained for the total DFT energy (no corrections) is -2.5454 eV/atom.

CIF file:
```
data_TlAuBr2Cl2
_cell_length_a 16.541
_cell_length_b 9.420
_cell_length_c 7.329
_cell_angle_alpha 90.00
_cell_angle_beta 116.29
_cell_angle_gamma 90.00
_symmetry_space_group_name_H-M 'C 1 2/m 1'
_symmetry_Int_Tables_number 12
loop_
_symmetry_equiv_pos_as_xyz
'x,y,z'
'-x,-y,-z'
'-x,y,-z'
'x,-y,z'
'x+1/2,y+1/2,z'
'-x+1/2,-y+1/2,-z'
'-x+1/2,y+1/2,-z'
'x+1/2,-y+1/2,z'
loop_
_atom_site_label
_atom_site_fract_x
_atom_site_fract_y
_atom_site_fract_z
Tl1 0.000 0.184 0.000
Au1 0.250 0.250 0.000
Br1 0.096 0.267 0.715
Cl1 0.194 0.289 0.236
```